Record 1
# TbNd2Er (PBE, optimized geometry)
# - calculated volume (Å³ per cell) = 538.12
# - polymorph energy (0 for the lowest one) (eV/atom) = 0.0123
# - formation energy (kJ per mole of atoms) = 2.4
# - symmetry = Pmmn, No. 59
data_TbNd2Er
_symmetry_space_group_name_H-M 'P 1'
_symmetry_Int_Tables_number 1
_cell_length_a 5.795
_cell_length_b 12.628
_cell_length_c 7.353
_cell_angle_alpha 90.00
_cell_angle_beta 90.00
_cell_angle_gamma 90.00
loop_
_symmetry_equiv_pos_as_xyz
'x,y,z'
loop_
_atom_site_label
_atom_site_fract_x
_atom_site_fract_y
_atom_site_fract_z
_atom_site_occupancy
Tb1 0.943 0.668 0.750 1
Tb2 0.443 0.832 0.250 1
Tb3 0.943 0.168 0.750 1
Tb4 0.443 0.332 0.250 1
Nd1 0.443 0.085 0.001 1
Nd2 0.443 0.585 0.499 1
Nd3 0.943 0.915 0.999 1
Nd4 0.943 0.415 0.501 1
Nd5 0.943 0.415 0.999 1
Nd6 0.443 0.585 0.001 1
Nd7 0.443 0.085 0.499 1
Nd8 0.943 0.915 0.501 1
Er1 0.943 0.667 0.250 1
Er2 0.443 0.333 0.750 1
Er3 0.443 0.833 0.750 1
Er4 0.943 0.167 0.250 1

=====

Record 2
# VBr2Cl (PBE, optimized geometry)
# - calculated volume (Å³ per cell) = 125.60
# - ΔE_f (raw) (eV per atom) = -0.9174
# - polymorph energy (0 for the lowest one) (eV/atom) = 0.0000
# - symmetry = P-1, No. 2
data_VBr2Cl
_symmetry_space_group_name_H-M 'P 1'
_symmetry_Int_Tables_number 1
_cell_length_a 3.711
_cell_length_b 4.705
_cell_length_c 7.435
_cell_angle_alpha 88.34
_cell_angle_beta 75.49
_cell_angle_gamma 90.00
loop_
_symmetry_equiv_pos_as_xyz
'x,y,z'
loop_
_atom_site_label
_atom_site_fract_x
_atom_site_fract_y
_atom_site_fract_z
_atom_site_occupancy
V1 0.000 0.000 0.000 1
Br1 0.377 0.989 0.245 1
Br2 0.623 0.011 0.755 1
Cl1 0.000 0.500 0.000 1

=====

Record 3
# SmPaBi2N (PBE, optimized geometry)
# - calculated volume (Å³ per cell) = 284.08
# - ΔE_f (raw) (eV per atom) = -0.8577
# - symmetry = P4/nmm, No. 129
data_SmPaBi2N
_symmetry_space_group_name_H-M 'P 1'
_symmetry_Int_Tables_number 1
_cell_length_a 4.057
_cell_length_b 4.057
_cell_length_c 17.262
_cell_angle_alpha 90.00
_cell_angle_beta 90.00
_cell_angle_gamma 90.00
loop_
_symmetry_equiv_pos_as_xyz
'x,y,z'
loop_
_atom_site_label
_atom_site_fract_x
_atom_site_fract_y
_atom_site_fract_z
_atom_site_occupancy
Sm1 0.500 0.000 0.141 1
Sm2 0.000 0.500 0.859 1
Pa1 0.500 0.000 0.564 1
Pa2 0.000 0.500 0.436 1
Bi1 0.000 0.500 0.674 1
Bi2 0.000 0.500 0.062 1
Bi3 0.500 0.000 0.938 1
Bi4 0.500 0.000 0.326 1
N1 0.000 0.000 0.500 1
N2 0.500 0.500 0.500 1

=====

Record 4
# Na3ScSn3S8 (PBE, optimized geometry)
# - calculated volume (Å³ per cell) = 348.31
# - ΔE_f (raw) (eV per atom) = -0.9021
# - symmetry = R-3m, No. 166
data_Na3ScSn3S8
_symmetry_space_group_name_H-M 'P 1'
_symmetry_Int_Tables_number 1
_cell_length_a 7.660
_cell_length_b 7.659
_cell_length_c 8.158
_cell_angle_alpha 118.00
_cell_angle_beta 90.00
_cell_angle_gamma 120.00
loop_
_symmetry_equiv_pos_as_xyz
'x,y,z'
loop_
_atom_site_label
_atom_site_fract_x
_atom_site_fract_y
_atom_site_fract_z
_atom_site_occupancy
Na1 0.000 0.000 0.000 1
Na2 0.000 0.500 0.000 1
Na3 0.500 0.500 0.000 1
Sc1 0.000 0.000 0.500 1
Sn1 0.500 0.000 0.500 1
Sn2 0.500 0.500 0.500 1
Sn3 0.000 0.500 0.500 1
S1 0.257 0.515 0.273 1
S2 0.743 0.485 0.727 1
S3 0.766 0.533 0.288 1
S4 0.234 0.467 0.712 1
S5 0.767 0.021 0.288 1
S6 0.233 0.979 0.712 1
S7 0.254 0.021 0.288 1
S8 0.746 0.979 0.712 1